The following is a DFT calculation (PBE-GGA) of a relaxed Li2BeAu crystal.

Crystal system: monoclinic
Energy of formation: -0.113 eV/atom
Electronic total energy: -11.282 eV/cell

Lattice parameters (Å, degrees): 2.820 4.456 4.362 90.00 98.39 90.00
Space group P2/m (No. 10)
Unique sites:
1 Li 0.229 0.000 0.252 [2 per cell]
2 Be 0.000 0.500 0.500 [1 per cell]
3 Au 0.500 0.500 0.000 [1 per cell]